This record from Alexandria via LeMat-Bulk describes a relaxed BaNd2TcN4 crystal. The functional is PBE.

Computed properties:
E: -123.76 eV/cell
ΔE_f (raw): -0.844 eV per atom
V: 17.8 A^3/atom
Density of states at the Fermi level: 3.6 states/eV/f.u.

Cell and atoms, written as CIF:
```
data_BaNd2TcN4
_symmetry_space_group_name_H-M 'P 1'
_symmetry_Int_Tables_number 1
_cell_length_a 3.583
_cell_length_b 6.623
_cell_length_c 12.456
_cell_angle_alpha 90.00
_cell_angle_beta 90.00
_cell_angle_gamma 105.69
loop_
_symmetry_equiv_pos_as_xyz
'x,y,z'
loop_
_atom_site_label
_atom_site_fract_x
_atom_site_fract_y
_atom_site_fract_z
N1 0.000 0.000 0.500
N2 0.258 0.516 0.117
N3 0.000 0.000 0.000
N4 0.258 0.516 0.383
N5 0.742 0.484 0.617
N6 0.742 0.484 0.883
N7 0.608 0.216 0.250
N8 0.392 0.784 0.750
Tc1 0.809 0.618 0.750
Tc2 0.191 0.382 0.250
Nd1 0.629 0.259 0.459
Nd2 0.629 0.259 0.041
Nd3 0.371 0.741 0.541
Nd4 0.371 0.741 0.959
Ba1 0.068 0.136 0.750
Ba2 0.932 0.864 0.250
```